Compound: ZnAsN2
Source: Alexandria via LeMat-Bulk
Functional: PBE
Structure: optimized geometry

Values from the calculation:
The calculation puts the relative energy among the computed polymorphs at 1015.9 meV/atom. Its formation energy (no corrections) is 5.7 eV per formula unit. The size of the total moment comes out at 0.00 μB/f.u.

abc: 5.5709 5.5709 5.5709
angles: 90.00 90.00 90.00
With the nearest neighbours (Å) after each atom.
Space group Fm-3m (No. 225)
Asymmetric unit:
Zn (0.0000, 0.0000, 0.0000)  8 N 2.41
As (0.0000, 0.0000, 0.5000)  8 N 2.41
N (0.2500, 0.2500, 0.2500)  4 As 2.41, 4 Zn 2.41

---

Compound: ZnAs3N
Source: Alexandria via LeMat-Bulk
Functional: PBE
Structure: optimized geometry

Values from the calculation:
The calculation puts the relative energy among the computed polymorphs at 1080.8 meV/atom. Its formation energy (no corrections) is 9.2 eV per formula unit. The size of the total moment comes out at 0.00 μB/f.u.

abc: 4.7483 4.7483 4.7483
angles: 90.00 90.00 90.00
With the nearest neighbours (Å) after each atom.
Space group Pm-3m (No. 221)
Asymmetric unit:
Zn (0.0000, 0.0000, 0.0000)  6 As 2.37
As (0.0000, 0.0000, 0.5000)  2 Zn 2.37
N (0.5000, 0.5000, 0.5000)  12 As 3.36